Crystalline Sm3Ho2Mg8 at its relaxed geometry. Source: the Alexandria database, functional GGA-PBE.

Formation energy from the elements ... 0.114 eV per atom
Uncorrected energy ... -2.661 eV/atom
Symmetry ... R-3m, No. 166

a b c (Å): 12.9285 12.9285 12.9285
angles (deg): 26.13 26.13 26.13
Atoms (fractional coordinates):
Sm (0.0000, 0.0000, 0.0000)
Sm (0.1832, 0.1832, 0.1832)
Sm (0.8168, 0.8168, 0.8168)
Ho (0.3596, 0.3596, 0.3596)
Ho (0.6404, 0.6404, 0.6404)
Mg (0.2309, 0.7321, 0.7321)
Mg (0.2679, 0.2679, 0.7691)
Mg (0.2679, 0.7691, 0.2679)
Mg (0.2753, 0.2753, 0.2753)
Mg (0.7247, 0.7247, 0.7247)
Mg (0.7321, 0.2309, 0.7321)
Mg (0.7321, 0.7321, 0.2309)
Mg (0.7691, 0.2679, 0.2679)